[1]
Compound: RbPSe2
Source: Alexandria
Functional: GGA-PBE
Structure: optimized geometry

* V: 195.9 Å³ per cell
* energy relative to the elements, uncorrected: 19 meV/atom
* symmetry: R-3m (166)

Cell lengths 7.262, 7.262, 7.262 Å; angles 48.32, 48.32, 48.32 degrees
Fractional positions:
Rb (0.000, 0.000, 0.000)
P (0.500, 0.500, 0.500)
Se (0.384, 0.384, 0.384)
Se (0.616, 0.616, 0.616)

=====

[2]
Compound: Sc2BeBi
Source: Alexandria
Functional: GGA-PBE
Structure: optimized geometry

* V: 176.0 Å³ per cell
* calculated formation energy: 68 meV per atom
* polymorph energy (0 for the lowest one): 0.402 eV per formula unit
* symmetry: I-42d (122)

Cell lengths 6.159, 6.159, 6.159 Å; angles 104.88, 104.88, 119.10 degrees
Fractional positions:
Sc (0.084, 0.625, 0.959)
Sc (0.375, 0.334, 0.459)
Sc (0.666, 0.125, 0.041)
Sc (0.875, 0.916, 0.541)
Be (0.000, 0.000, 0.000)
Be (0.750, 0.250, 0.500)
Bi (0.250, 0.750, 0.500)
Bi (0.500, 0.500, 0.000)

=====

[3]
Compound: TcTeRu2
Source: Alexandria
Functional: GGA-PBE
Structure: optimized geometry

* V: 62.1 Å³ per cell
* energy relative to the elements, uncorrected: 313 meV/atom
* symmetry: I4/mmm (139)

Cell lengths 4.817, 4.817, 4.817 Å; angles 131.10, 131.10, 71.65 degrees
Fractional positions:
Tc (0.000, 0.000, 0.000)
Te (0.500, 0.500, 0.000)
Ru (0.250, 0.750, 0.500)
Ru (0.750, 0.250, 0.500)

=====

[4]
Compound: CsHgRhPb2
Source: Alexandria
Functional: GGA-PBE
Structure: optimized geometry

* V: 161.0 Å³ per cell
* calculated formation energy: -20 meV per atom
* symmetry: P4/mmm (123)

Cell lengths 5.386, 5.386, 5.549 Å; angles 90.00, 90.00, 90.00 degrees
Fractional positions:
Cs (0.000, 0.000, 0.000)
Hg (0.500, 0.500, 0.000)
Rh (0.500, 0.500, 0.500)
Pb (0.000, 0.500, 0.500)
Pb (0.500, 0.000, 0.500)

=====

[5]
Compound: BiH2Ir2
Source: Alexandria
Functional: GGA-PBE
Structure: optimized geometry

* V: 63.1 Å³ per cell
* polymorph energy (0 for the lowest one): 0.000 eV per formula unit
* symmetry: I4/mmm (139)

Cell lengths 6.423, 6.423, 6.423 Å; angles 150.75, 150.75, 41.84 degrees
Fractional positions:
Bi (0.000, 0.000, 0.000)
H (0.250, 0.750, 0.500)
H (0.750, 0.250, 0.500)
Ir (0.334, 0.334, 0.000)
Ir (0.666, 0.666, 0.000)

=====

[6]
Compound: NpSc4P5
Source: Alexandria
Functional: GGA-PBE
Structure: optimized geometry

* V: 193.6 Å³ per cell
* calculated formation energy: -1358 meV per atom
* symmetry: Immm (71)

Cell lengths 10.053, 10.053, 10.053 Å; angles 158.27, 148.99, 38.19 degrees
Fractional positions:
Np (0.000, 0.000, 0.000)
Sc (0.203, 0.203, 0.000)
Sc (0.397, 0.397, 0.000)
Sc (0.603, 0.603, 0.000)
Sc (0.797, 0.797, 0.000)
P (0.103, 0.603, 0.500)
P (0.300, 0.800, 0.500)
P (0.500, 0.000, 0.500)
P (0.700, 0.200, 0.500)
P (0.897, 0.397, 0.500)